Entry from Alexandria via LeMat-Bulk: YSi2 at its PBEsol-relaxed geometry (meta-GGA SCAN).

Raw formation energy   -0.58 eV/atom
Crystal system   monoclinic
Energy   -16.537 eV/atom
N(E_F)   1.0 states/eV/cell
Total magnetic moment   0.000 μB/cell

a = 3.8637 Å, b = 5.4920 Å, c = 5.9684 Å
α = 103.11°, β = 90.00°, γ = 110.59°
Atoms (fractional coordinates):
1 Y 0.1741 0.3481 0.2144
2 Y 0.8259 0.6519 0.7856
3 Si 0.5513 0.1026 0.8448
4 Si 0.8990 0.7980 0.3452
5 Si 0.4487 0.8974 0.1552
6 Si 0.1010 0.2020 0.6548